AlZnFeRe after structural relaxation. Source: OQMD via LeMat-Bulk, functional GGA-PBE.

Cell: 6.007 6.007 6.007 Å, 90.00 90.00 90.00°
Space group F-43m (No. 216)
Symmetry-distinct sites (fractional):
Al: 0.000 0.000 0.000 (multiplicity 4)
Zn: 0.000 0.000 0.500 (multiplicity 4)
Fe: 0.250 0.250 0.250 (multiplicity 4)
Re: 0.250 0.250 0.750 (multiplicity 4)

E_tot: -6.2655 eV/atom

AlZnFeRe after structural relaxation. Source: OQMD via LeMat-Bulk, functional GGA-PBE.

Cell: 5.976 5.976 5.976 Å, 90.00 90.00 90.00°
Space group F-43m (No. 216)
Symmetry-distinct sites (fractional):
Al: 0.000 0.000 0.000 (multiplicity 4)
Zn: 0.250 0.250 0.750 (multiplicity 4)
Fe: 0.250 0.250 0.250 (multiplicity 4)
Re: 0.000 0.000 0.500 (multiplicity 4)

E_tot: -6.3276 eV/atom

AlFe2S4 after structural relaxation. Source: OQMD via LeMat-Bulk, functional GGA-PBE.

Cell: 6.916 6.916 9.721 Å, 90.00 90.00 90.00°
Space group P4_122 (No. 91)
Symmetry-distinct sites (fractional):
Al: 0.000 0.253 0.000 (multiplicity 4)
Fe: 0.252 0.252 0.375 (multiplicity 4)
Fe: 0.259 0.500 0.750 (multiplicity 4)
S: 0.024 0.261 0.753 (multiplicity 8)
S: 0.259 0.485 0.987 (multiplicity 8)

E_tot: -5.8416 eV/atom

AlFe2S4 after structural relaxation. Source: OQMD via LeMat-Bulk, functional GGA-PBE.

Cell: 6.804 6.804 9.587 Å, 90.00 90.00 90.00°
Space group P4_122 (No. 91)
Symmetry-distinct sites (fractional):
Al: 0.249 0.249 0.375 (multiplicity 4)
Fe: 0.000 0.251 0.000 (multiplicity 4)
Fe: 0.251 0.500 0.750 (multiplicity 4)
S: 0.028 0.250 0.763 (multiplicity 8)
S: 0.250 0.474 0.987 (multiplicity 8)

E_tot: -5.7968 eV/atom

Tb3AlFeS7 after structural relaxation. Source: OQMD via LeMat-Bulk, functional GGA-PBE.

Cell: 9.604 6.147 9.628 Å, 90.00 119.76 90.00°
Space group P2_1 (No. 4)
Symmetry-distinct sites (fractional):
Tb: 0.123 0.000 0.344 (multiplicity 2)
Tb: 0.277 0.498 0.120 (multiplicity 2)
Tb: 0.346 0.500 0.722 (multiplicity 2)
Al: 0.167 0.923 0.833 (multiplicity 2)
Fe: 0.497 0.823 0.495 (multiplicity 2)
S: 0.022 0.769 0.932 (multiplicity 2)
S: 0.069 0.769 0.590 (multiplicity 2)
S: 0.166 0.287 0.832 (multiplicity 2)
S: 0.262 0.587 0.397 (multiplicity 2)
S: 0.365 0.088 0.263 (multiplicity 2)
S: 0.397 0.087 0.635 (multiplicity 2)
S: 0.411 0.769 0.978 (multiplicity 2)

E_tot: -6.1323 eV/atom

Al2FeSb after structural relaxation. Source: OQMD via LeMat-Bulk, functional GGA-PBE.

Cell: 6.367 6.367 6.367 Å, 90.00 90.00 90.00°
Space group F-43m (No. 216)
Symmetry-distinct sites (fractional):
Al: 0.000 0.000 0.000 (multiplicity 4)
Al: 0.250 0.250 0.250 (multiplicity 4)
Fe: 0.250 0.250 0.750 (multiplicity 4)
Sb: 0.000 0.000 0.500 (multiplicity 4)

E_tot: -4.6290 eV/atom

ScAlFe2 after structural relaxation. Source: OQMD via LeMat-Bulk, functional GGA-PBE.

Cell: 6.135 6.135 6.135 Å, 90.00 90.00 90.00°
Space group F-43m (No. 216)
Symmetry-distinct sites (fractional):
Sc: 0.000 0.000 0.000 (multiplicity 4)
Al: 0.250 0.250 0.750 (multiplicity 4)
Fe: 0.000 0.000 0.500 (multiplicity 4)
Fe: 0.250 0.250 0.250 (multiplicity 4)

E_tot: -6.7961 eV/atom

ScAlFe after structural relaxation. Source: OQMD via LeMat-Bulk, functional GGA-PBE.

Cell: 6.116 6.116 6.116 Å, 90.00 90.00 90.00°
Space group F-43m (No. 216)
Symmetry-distinct sites (fractional):
Sc: 0.000 0.000 0.000 (multiplicity 4)
Al: 0.250 0.250 0.750 (multiplicity 4)
Fe: 0.250 0.250 0.250 (multiplicity 4)

E_tot: -5.3791 eV/atom